Here is TmPaAlAg after structural relaxation from the Alexandria database. Energies are from PBE-GGA. Values from VASP.

Structure (Quantum ESPRESSO input):
```
&SYSTEM
  ibrav = 0, nat = 4, ntyp = 4
/
ATOMIC_SPECIES
Pa 231.04 Pa.upf
Tm 168.93 Tm.upf
Al 26.98 Al.upf
Ag 107.87 Ag.upf
CELL_PARAMETERS angstrom
5.095 0.000 0.000
2.548 4.413 0.000
2.548 1.471 4.160
ATOMIC_POSITIONS angstrom
Pa 5.095 2.942 2.080
Tm 0.000 0.000 0.000
Al 2.548 1.471 1.040
Ag 7.643 4.413 3.120
```

## Properties
M_tot: 0.4 μB/f.u.
SG: No. 216
formation energy from the elements: 0.02 eV per atom
E_tot: -5.1247 eV/atom